# Y2BiCl

A geometry-optimized Y2BiCl structure (GGA-PBE, Alexandria via LeMat-Bulk).

Values from the calculation:
* E_form (uncorrected): -90.6 kJ per mole of atoms
* excess energy over the best structure of this formula in the dataset: 0.00 kcal/mol of atoms
* crystal system: cubic
* density: 6.7 g cm⁻³
* calculated volume: 421.3 Å³/cell

Structure (CIF):
```
data_Y2BiCl
_chemical_formula_sum 'Y8 Bi4 Cl4'
_space_group_name_H-M_alt 'F m -3 m'
_space_group_IT_number 225
_space_group_name_Hall '-F 4 2 3'
_cell_length_a 7.4969
_cell_length_b 7.4969
_cell_length_c 7.4969
_cell_angle_alpha 90.00
_cell_angle_beta 90.00
_cell_angle_gamma 90.00
loop_
_atom_site_label
_atom_site_fract_x
_atom_site_fract_y
_atom_site_fract_z
_atom_site_occupancy
Y1 0.2500 0.2500 0.2500 1
Bi1 0.0000 0.0000 0.0000 1
Cl1 0.0000 0.0000 0.5000 1
```


# YZrBi2Cl

A geometry-optimized YZrBi2Cl structure (GGA-PBE, Alexandria via LeMat-Bulk).

Values from the calculation:
* E_form (uncorrected): 22.6 kJ per mole of atoms
* crystal system: tetragonal
* density: 6.9 g cm⁻³
* calculated volume: 152.4 Å³/cell

Structure (CIF):
```
data_YZrBi2Cl
_chemical_formula_sum 'Y1 Zr1 Bi2 Cl1'
_space_group_name_H-M_alt 'P 4/m m m'
_space_group_IT_number 123
_space_group_name_Hall '-P 4 2'
_cell_length_a 5.6081
_cell_length_b 5.6081
_cell_length_c 4.8450
_cell_angle_alpha 90.00
_cell_angle_beta 90.00
_cell_angle_gamma 90.00
loop_
_atom_site_label
_atom_site_fract_x
_atom_site_fract_y
_atom_site_fract_z
_atom_site_occupancy
Y1 0.0000 0.0000 0.0000 1
Zr1 0.5000 0.5000 0.0000 1
Bi1 0.0000 0.5000 0.5000 1
Cl1 0.0000 0.0000 0.5000 1
```


# ZnBiCl3

A geometry-optimized ZnBiCl3 structure (GGA-PBE, Alexandria via LeMat-Bulk).

Values from the calculation:
* E_form (uncorrected): -47.5 kJ per mole of atoms
* excess energy over the best structure of this formula in the dataset: 0.00 kcal/mol of atoms
* crystal system: cubic
* density: 3.9 g cm⁻³
* calculated volume: 163.5 Å³/cell

Structure (CIF):
```
data_ZnBiCl3
_chemical_formula_sum 'Zn1 Bi1 Cl3'
_space_group_name_H-M_alt 'P m -3 m'
_space_group_IT_number 221
_space_group_name_Hall '-P 4 2 3'
_cell_length_a 5.4680
_cell_length_b 5.4680
_cell_length_c 5.4680
_cell_angle_alpha 90.00
_cell_angle_beta 90.00
_cell_angle_gamma 90.00
loop_
_atom_site_label
_atom_site_fract_x
_atom_site_fract_y
_atom_site_fract_z
_atom_site_occupancy
Zn1 0.0000 0.0000 0.0000 1
Bi1 0.5000 0.5000 0.5000 1
Cl1 0.0000 0.5000 0.5000 1
```


# ZnBiCl2

A geometry-optimized ZnBiCl2 structure (GGA-PBE, Alexandria via LeMat-Bulk).

Values from the calculation:
* E_form (uncorrected): -59.7 kJ per mole of atoms
* excess energy over the best structure of this formula in the dataset: 0.00 kcal/mol of atoms
* crystal system: trigonal
* density: 5.0 g cm⁻³
* calculated volume: 341.4 Å³/cell

Structure (CIF):
```
data_ZnBiCl2
_chemical_formula_sum 'Zn3 Bi3 Cl6'
_space_group_name_H-M_alt 'R -3 m'
_space_group_IT_number 166
_space_group_name_Hall '-R 3 2"'
_cell_length_a 3.4526
_cell_length_b 3.4526
_cell_length_c 33.0687
_cell_angle_alpha 90.00
_cell_angle_beta 90.00
_cell_angle_gamma 120.00
loop_
_atom_site_label
_atom_site_fract_x
_atom_site_fract_y
_atom_site_fract_z
_atom_site_occupancy
Zn1 0.0000 0.0000 0.0000 1
Bi1 0.0000 0.0000 0.5000 1
Cl1 0.0000 0.0000 0.3765 1
```


# Zn2BiCl6

A geometry-optimized Zn2BiCl6 structure (GGA-PBE, Alexandria via LeMat-Bulk).

Values from the calculation:
* E_form (uncorrected): -89.9 kJ per mole of atoms
* crystal system: monoclinic
* density: 3.3 g cm⁻³
* calculated volume: 1096.8 Å³/cell

Structure (CIF):
```
data_Zn2BiCl6
_chemical_formula_sum 'Zn8 Bi4 Cl24'
_space_group_name_H-M_alt 'C 1 2/c 1'
_space_group_IT_number 15
_space_group_name_Hall '-C 2yc'
_cell_length_a 12.8079
_cell_length_b 11.9505
_cell_length_c 7.4164
_cell_angle_alpha 90.00
_cell_angle_beta 104.94
_cell_angle_gamma 90.00
loop_
_atom_site_label
_atom_site_fract_x
_atom_site_fract_y
_atom_site_fract_z
_atom_site_occupancy
Zn1 0.1971 0.0659 0.2246 1
Bi1 0.0000 0.3647 0.2500 1
Cl1 0.1174 0.4520 0.6822 1
Cl2 0.1325 0.0639 0.4908 1
Cl3 0.1348 0.2355 0.0967 1
```


# ZnBiCl3

A geometry-optimized ZnBiCl3 structure (GGA-PBE, Alexandria via LeMat-Bulk).

Values from the calculation:
* E_form (uncorrected): -39.9 kJ per mole of atoms
* excess energy over the best structure of this formula in the dataset: 1.80 kcal/mol of atoms
* crystal system: cubic
* density: 5.3 g cm⁻³
* calculated volume: 118.2 Å³/cell

Structure (CIF):
```
data_ZnBiCl3
_chemical_formula_sum 'Zn1 Bi1 Cl3'
_space_group_name_H-M_alt 'P m -3 m'
_space_group_IT_number 221
_space_group_name_Hall '-P 4 2 3'
_cell_length_a 4.9080
_cell_length_b 4.9080
_cell_length_c 4.9080
_cell_angle_alpha 90.00
_cell_angle_beta 90.00
_cell_angle_gamma 90.00
loop_
_atom_site_label
_atom_site_fract_x
_atom_site_fract_y
_atom_site_fract_z
_atom_site_occupancy
Zn1 0.0000 0.0000 0.0000 1
Bi1 0.5000 0.5000 0.5000 1
Cl1 0.0000 0.0000 0.5000 1
```


# ZnBiCl2

A geometry-optimized ZnBiCl2 structure (GGA-PBE, Alexandria via LeMat-Bulk).

Values from the calculation:
* E_form (uncorrected): -19.0 kJ per mole of atoms
* excess energy over the best structure of this formula in the dataset: 9.73 kcal/mol of atoms
* crystal system: tetragonal
* density: 4.8 g cm⁻³
* calculated volume: 478.0 Å³/cell

Structure (CIF):
```
data_ZnBiCl2
_chemical_formula_sum 'Zn4 Bi4 Cl8'
_space_group_name_H-M_alt 'I -4 2 d'
_space_group_IT_number 122
_space_group_name_Hall 'I -4 2bw'
_cell_length_a 7.1088
_cell_length_b 7.1088
_cell_length_c 9.4597
_cell_angle_alpha 90.00
_cell_angle_beta 90.00
_cell_angle_gamma 90.00
loop_
_atom_site_label
_atom_site_fract_x
_atom_site_fract_y
_atom_site_fract_z
_atom_site_occupancy
Zn1 0.0000 0.0000 0.0000 1
Bi1 0.0000 0.0000 0.5000 1
Cl1 0.1137 0.2500 0.1250 1
```


# ZnBi2Cl

A geometry-optimized ZnBi2Cl structure (GGA-PBE, Alexandria via LeMat-Bulk).

Values from the calculation:
* E_form (uncorrected): -2.0 kJ per mole of atoms
* excess energy over the best structure of this formula in the dataset: 0.36 kcal/mol of atoms
* crystal system: cubic
* density: 8.7 g cm⁻³
* calculated volume: 396.9 Å³/cell

Structure (CIF):
```
data_ZnBi2Cl
_chemical_formula_sum 'Zn4 Bi8 Cl4'
_space_group_name_H-M_alt 'F m -3 m'
_space_group_IT_number 225
_space_group_name_Hall '-F 4 2 3'
_cell_length_a 7.3489
_cell_length_b 7.3489
_cell_length_c 7.3489
_cell_angle_alpha 90.00
_cell_angle_beta 90.00
_cell_angle_gamma 90.00
loop_
_atom_site_label
_atom_site_fract_x
_atom_site_fract_y
_atom_site_fract_z
_atom_site_occupancy
Zn1 0.0000 0.0000 0.0000 1
Bi1 0.2500 0.2500 0.2500 1
Cl1 0.0000 0.0000 0.5000 1
```


# ZnBiCl2

A geometry-optimized ZnBiCl2 structure (GGA-PBE, Alexandria via LeMat-Bulk).

Values from the calculation:
* E_form (uncorrected): -26.7 kJ per mole of atoms
* excess energy over the best structure of this formula in the dataset: 7.90 kcal/mol of atoms
* crystal system: trigonal
* density: 5.8 g cm⁻³
* calculated volume: 298.9 Å³/cell

Structure (CIF):
```
data_ZnBiCl2
_chemical_formula_sum 'Zn3 Bi3 Cl6'
_space_group_name_H-M_alt 'R -3 m'
_space_group_IT_number 166
_space_group_name_Hall '-R 3 2"'
_cell_length_a 3.4717
_cell_length_b 3.4717
_cell_length_c 28.6340
_cell_angle_alpha 90.00
_cell_angle_beta 90.00
_cell_angle_gamma 120.00
loop_
_atom_site_label
_atom_site_fract_x
_atom_site_fract_y
_atom_site_fract_z
_atom_site_occupancy
Zn1 0.0000 0.0000 0.0000 1
Bi1 0.0000 0.0000 0.5000 1
Cl1 0.0000 0.0000 0.0843 1
```


# ZnBiCl6

A geometry-optimized ZnBiCl6 structure (GGA-PBE, Alexandria via LeMat-Bulk).

Values from the calculation:
* E_form (uncorrected): -72.6 kJ per mole of atoms
* crystal system: trigonal
* density: 3.8 g cm⁻³
* calculated volume: 636.5 Å³/cell

Structure (CIF):
```
data_ZnBiCl6
_chemical_formula_sum 'Zn3 Bi3 Cl18'
_space_group_name_H-M_alt 'R -3'
_space_group_IT_number 148
_space_group_name_Hall '-R 3'
_cell_length_a 6.4809
_cell_length_b 6.4809
_cell_length_c 17.4918
_cell_angle_alpha 90.00
_cell_angle_beta 90.00
_cell_angle_gamma 120.00
loop_
_atom_site_label
_atom_site_fract_x
_atom_site_fract_y
_atom_site_fract_z
_atom_site_occupancy
Zn1 0.0000 0.0000 0.0000 1
Bi1 0.0000 0.0000 0.5000 1
Cl1 0.0058 0.3198 0.0791 1
```